1.
The following is a DFT calculation (PBE-GGA) of DyY3Er5 after structural relaxation.

Values from the calculation:
**E_form**: 52.53 kJ per mole of atoms
**Distance to the lowest polymorph of the same formula**: 2.15 eV/f.u.

Cell: 15.135 11.272 9.974 Å, 90.00 130.55 90.00°
Space group C2/m (No. 12)
Symmetry-distinct sites (fractional):
Dy 0.249 0.000 0.102 (multiplicity 4)
Y 0.000 0.000 0.000 (multiplicity 2)
Y 0.000 0.500 0.500 (multiplicity 2)
Y 0.011 0.000 0.315 (multiplicity 4)
Y 0.023 0.500 0.865 (multiplicity 4)
Er 0.000 0.240 0.500 (multiplicity 4)
Er 0.156 0.249 0.255 (multiplicity 8)
Er 0.220 0.000 0.731 (multiplicity 4)
Er 0.221 0.500 0.535 (multiplicity 4)

2.
The following is a DFT calculation (PBE-GGA) of Ce2ErSi3Rh4 after structural relaxation.

Values from the calculation:
**Uncorrected formation energy**: -968 meV per atom

Cell: 4.112 4.112 10.950 Å, 90.00 90.00 90.00°
Space group P-4m2 (No. 115)
Symmetry-distinct sites (fractional):
Ce 0.000 0.500 0.234 (multiplicity 2)
Er 0.000 0.000 0.500 (multiplicity 1)
Si 0.000 0.500 0.883 (multiplicity 2)
Si 0.500 0.500 0.500 (multiplicity 1)
Rh 0.000 0.000 0.000 (multiplicity 1)
Rh 0.000 0.500 0.663 (multiplicity 2)
Rh 0.500 0.500 0.000 (multiplicity 1)

3.
The following is a DFT calculation (PBE-GGA) of Dy2HRh after structural relaxation.

Values from the calculation:
**Distance to the lowest polymorph of the same formula**: 0.00 eV/f.u.

Cell: 13.711 3.682 6.780 Å, 90.00 113.73 90.00°
Space group C2/m (No. 12)
Symmetry-distinct sites (fractional):
Dy 0.013 0.000 0.257 (multiplicity 4)
Dy 0.214 0.500 0.744 (multiplicity 4)
H 0.110 0.000 0.604 (multiplicity 4)
Rh 0.118 0.500 0.071 (multiplicity 4)

4.
The following is a DFT calculation (PBE-GGA) of LaCeRu2 after structural relaxation.

Values from the calculation:
**E_form**: -23.32 kJ per mole of atoms

Cell: 3.460 3.460 7.207 Å, 90.00 90.00 90.00°
Space group P4/mmm (No. 123)
Symmetry-distinct sites (fractional):
La 0.000 0.000 0.000 (multiplicity 1)
Ce 0.000 0.000 0.500 (multiplicity 1)
Ru 0.500 0.500 0.284 (multiplicity 2)